Record 1
KHfTa2O8 | GGA-PBE | relaxed

abc: 5.756 5.756 7.605
angles: 76.76 76.76 65.00
Site moments in Bohr magnetons follow the coordinates.
Fractional coordinates of all 12 atoms:
K: 0.000 0.000 0.500  0.00
Hf: 0.000 0.000 0.000  0.00
O: 0.271 0.794 0.178  0.00
O: 0.794 0.271 0.178  0.00
O: 0.610 0.610 0.507  0.41
O: 0.729 0.206 0.822  0.00
Ta: 0.408 0.408 0.743  -0.02
O: 0.390 0.390 0.493  0.41
O: 0.786 0.786 0.142  0.03
O: 0.214 0.214 0.858  0.03
Ta: 0.592 0.592 0.257  -0.02
O: 0.206 0.729 0.822  0.00

Calculated values
SG   C2/m
Density   5.35 g cm⁻³
Total moment   1.01 μB/cell
Total energy   -8.90 eV/atom

=====

Record 2
AcPmLu2 | GGA-PBE | relaxed

abc: 5.798 5.798 5.798
angles: 60.00 60.00 60.00
Fractional coordinates of all 4 atoms:
Ac: 0.000 0.000 0.000
Lu: 0.750 0.750 0.750
Pm: 0.500 0.500 0.500
Lu: 0.250 0.250 0.250

Calculated values
SG   Fm-3m
Density   8.70 g cm⁻³
Total moment   0.00 μB/cell
Total energy   -4.38 eV/atom

=====

Record 3
TaMoOs | GGA-PBE | relaxed

abc: 5.468 4.545 9.429
angles: 90.00 124.70 90.00
Fractional coordinates of all 12 atoms:
Mo: 0.345 0.500 0.801
Os: 0.492 0.000 0.632
Os: 0.492 0.500 0.132
Mo: 0.177 0.500 0.478
Ta: 0.668 0.500 0.472
Mo: 0.345 0.000 0.301
Ta: 0.005 0.500 0.148
Os: 0.862 0.000 0.323
Ta: 0.005 0.000 0.648
Ta: 0.668 0.000 0.972
Mo: 0.177 0.000 0.978
Os: 0.862 0.500 0.823

Calculated values
SG   Cm
Density   16.11 g cm⁻³
Total moment   0.00 μB/cell
Total energy   -11.36 eV/atom

=====

Record 4
FeNiAg | GGA-PBE | relaxed

abc: 5.803 5.803 2.741
angles: 76.34 76.34 27.32
Site moments in Bohr magnetons follow the coordinates.
Fractional coordinates of all 3 atoms:
Ag: 0.002 0.002 0.998  0.01
Fe: 0.317 0.317 0.683  2.83
Ni: 0.681 0.681 0.319  0.67

Calculated values
SG   I4mm
Density   8.99 g cm⁻³
Total moment   3.46 μB/cell
Total energy   -5.49 eV/atom

=====

Question: total energy of number 4 (FeNiAg)?
Answer: -5.49 eV/atom

=====

Question: Which of these has the highest density?
Answer: TaMoOs